# Li2LaAu, PBEsol geometry, DFT meta-GGA SCAN
data_Li2LaAu
_chemical_formula_sum 'Li4 La2 Au2'
_cell_length_a 4.621
_cell_length_b 5.117
_cell_length_c 7.324
_cell_angle_alpha 90.00
_cell_angle_beta 90.00
_cell_angle_gamma 90.00
_space_group_name_H-M_alt 'I m m 2'
_space_group_IT_number 44
loop_
_space_group_symop_operation_xyz
'x,y,z'
'-x,-y,z'
'-x,y,z'
'x,-y,z'
'x+1/2,y+1/2,z+1/2'
'-x+1/2,-y+1/2,z+1/2'
'-x+1/2,y+1/2,z+1/2'
'x+1/2,-y+1/2,z+1/2'
loop_
_atom_site_label
_atom_site_type_symbol
_atom_site_fract_x
_atom_site_fract_y
_atom_site_fract_z
Li1 Li 0.000 0.000 0.000
Li2 Li 0.000 0.500 0.265
La1 La 0.000 0.500 0.782
Au1 Au 0.000 0.000 0.554
# Uncorrected energy, eV per atom: -29.7103
# Theoretical density, g/cm3: 6.7
# DOS at the Fermi energy, states/eV/atom: 0.70

***

# Li2LaAu, PBEsol geometry, DFT meta-GGA SCAN
data_Li2LaAu
_chemical_formula_sum 'Li2 La1 Au1'
_cell_length_a 3.891
_cell_length_b 4.074
_cell_length_c 6.322
_cell_angle_alpha 90.00
_cell_angle_beta 107.60
_cell_angle_gamma 90.00
_space_group_name_H-M_alt 'P 1 m 1'
_space_group_IT_number 6
loop_
_space_group_symop_operation_xyz
'x,y,z'
'x,-y,z'
loop_
_atom_site_label
_atom_site_type_symbol
_atom_site_fract_x
_atom_site_fract_y
_atom_site_fract_z
Li1 Li 0.000 0.000 0.000
Li2 Li 0.455 0.500 0.913
La1 La 0.723 0.000 0.457
Au1 Au 0.131 0.500 0.269
# Uncorrected energy, eV per atom: -29.7368
# Theoretical density, g/cm3: 6.1
# DOS at the Fermi energy, states/eV/atom: 0.62

***

# Li2LaAu, PBEsol geometry, DFT meta-GGA SCAN
data_Li2LaAu
_chemical_formula_sum 'Li6 La3 Au3'
_cell_length_a 4.5209
_cell_length_b 4.5209
_cell_length_c 14.7947
_cell_angle_alpha 90.00
_cell_angle_beta 90.00
_cell_angle_gamma 120.00
_space_group_name_H-M_alt 'R 3 m'
_space_group_IT_number 160
_space_group_name_Hall 'R 3 -2"'
loop_
_atom_site_label
_atom_site_type_symbol
_atom_site_fract_x
_atom_site_fract_y
_atom_site_fract_z
Li1 Li 0.0000 0.0000 0.0000
Li2 Li 0.0000 0.0000 0.2837
La1 La 0.0000 0.0000 0.7979
Au1 Au 0.0000 0.0000 0.5897
# Uncorrected energy, eV per atom: -29.7651
# Theoretical density, g/cm3: 6.7
# DOS at the Fermi energy, states/eV/atom: 0.73

***

# LiLaAu2, PBEsol geometry, DFT meta-GGA SCAN
data_LiLaAu2
_chemical_formula_sum 'Li2 La2 Au4'
_cell_length_a 4.291
_cell_length_b 4.463
_cell_length_c 8.584
_cell_angle_alpha 90.00
_cell_angle_beta 90.00
_cell_angle_gamma 90.00
_space_group_name_H-M_alt 'I m m 2'
_space_group_IT_number 44
loop_
_space_group_symop_operation_xyz
'x,y,z'
'-x,-y,z'
'-x,y,z'
'x,-y,z'
'x+1/2,y+1/2,z+1/2'
'-x+1/2,-y+1/2,z+1/2'
'-x+1/2,y+1/2,z+1/2'
'x+1/2,-y+1/2,z+1/2'
loop_
_atom_site_label
_atom_site_type_symbol
_atom_site_fract_x
_atom_site_fract_y
_atom_site_fract_z
Li1 Li 0.000 0.000 0.000
La1 La 0.000 0.500 0.245
Au1 Au 0.000 0.000 0.491
Au2 Au 0.000 0.500 0.734
# Uncorrected energy, eV per atom: -46.6665
# Theoretical density, g/cm3: 10.9
# DOS at the Fermi energy, states/eV/atom: 0.58

***

# Li2LaAu, PBEsol geometry, DFT meta-GGA SCAN
data_Li2LaAu
_chemical_formula_sum 'Li4 La2 Au2'
_cell_length_a 9.886
_cell_length_b 3.554
_cell_length_c 5.037
_cell_angle_alpha 90.00
_cell_angle_beta 104.16
_cell_angle_gamma 90.00
_space_group_name_H-M_alt 'C 1 2/m 1'
_space_group_IT_number 12
loop_
_space_group_symop_operation_xyz
'x,y,z'
'-x,-y,-z'
'-x,y,-z'
'x,-y,z'
'x+1/2,y+1/2,z'
'-x+1/2,-y+1/2,-z'
'-x+1/2,y+1/2,-z'
'x+1/2,-y+1/2,z'
loop_
_atom_site_label
_atom_site_type_symbol
_atom_site_fract_x
_atom_site_fract_y
_atom_site_fract_z
Li1 Li 0.222 0.000 0.170
La1 La 0.000 0.000 0.500
Au1 Au 0.000 0.500 0.000
# Uncorrected energy, eV per atom: -29.7084
# Theoretical density, g/cm3: 6.8
# DOS at the Fermi energy, states/eV/atom: 0.62

***

# Li3LaAu, PBEsol geometry, DFT meta-GGA SCAN
data_Li3LaAu
_chemical_formula_sum 'Li3 La1 Au1'
_cell_length_a 4.814
_cell_length_b 4.814
_cell_length_c 4.814
_cell_angle_alpha 90.00
_cell_angle_beta 90.00
_cell_angle_gamma 90.00
_space_group_name_H-M_alt 'P m -3 m'
_space_group_IT_number 221
_space_group_name_Hall '-P 4 2 3'
loop_
_atom_site_label
_atom_site_type_symbol
_atom_site_fract_x
_atom_site_fract_y
_atom_site_fract_z
Li1 Li 0.000 0.000 0.500
La1 La 0.500 0.500 0.500
Au1 Au 0.000 0.000 0.000
# Uncorrected energy, eV per atom: -24.0834
# Theoretical density, g/cm3: 5.3
# DOS at the Fermi energy, states/eV/atom: 0.89

***

# LiLaAu2, PBEsol geometry, DFT meta-GGA SCAN
data_LiLaAu2
_chemical_formula_sum 'Li1 La1 Au2'
_cell_length_a 3.450
_cell_length_b 3.450
_cell_length_c 6.832
_cell_angle_alpha 90.00
_cell_angle_beta 90.00
_cell_angle_gamma 90.00
_space_group_name_H-M_alt 'P 4/m m m'
_space_group_IT_number 123
_space_group_name_Hall '-P 4 2'
loop_
_atom_site_label
_atom_site_type_symbol
_atom_site_fract_x
_atom_site_fract_y
_atom_site_fract_z
Li1 Li 0.000 0.000 0.000
La1 La 0.000 0.000 0.500
Au1 Au 0.500 0.500 0.204
# Uncorrected energy, eV per atom: -46.7474
# Theoretical density, g/cm3: 11.0
# DOS at the Fermi energy, states/eV/atom: 0.52

***

# LiLaAu2, PBEsol geometry, DFT meta-GGA SCAN
data_LiLaAu2
_chemical_formula_sum 'Li3 La3 Au6'
_cell_length_a 4.5294
_cell_length_b 4.5294
_cell_length_c 14.5158
_cell_angle_alpha 90.00
_cell_angle_beta 90.00
_cell_angle_gamma 120.00
_space_group_name_H-M_alt 'R -3 m'
_space_group_IT_number 166
_space_group_name_Hall '-R 3 2"'
loop_
_atom_site_label
_atom_site_type_symbol
_atom_site_fract_x
_atom_site_fract_y
_atom_site_fract_z
Li1 Li 0.0000 0.0000 0.0000
La1 La 0.0000 0.0000 0.5000
Au1 Au 0.0000 0.0000 0.2857
# Uncorrected energy, eV per atom: -46.8664
# Theoretical density, g/cm3: 10.4
# DOS at the Fermi energy, states/eV/atom: 0.49

***

# LiLaAu2, PBEsol geometry, DFT meta-GGA SCAN
data_LiLaAu2
_chemical_formula_sum 'Li4 La4 Au8'
_cell_length_a 7.039
_cell_length_b 7.039
_cell_length_c 7.039
_cell_angle_alpha 90.00
_cell_angle_beta 90.00
_cell_angle_gamma 90.00
_space_group_name_H-M_alt 'F m -3 m'
_space_group_IT_number 225
_space_group_name_Hall '-F 4 2 3'
loop_
_atom_site_label
_atom_site_type_symbol
_atom_site_fract_x
_atom_site_fract_y
_atom_site_fract_z
Li1 Li 0.000 0.000 0.000
La1 La 0.000 0.000 0.500
Au1 Au 0.250 0.250 0.250
# Uncorrected energy, eV per atom: -46.7714
# Theoretical density, g/cm3: 10.3
# DOS at the Fermi energy, states/eV/atom: 0.53

***

# Li2LaMnAu, PBEsol geometry, DFT meta-GGA SCAN
data_Li2LaMnAu
_chemical_formula_sum 'Li2 La1 Mn1 Au1'
_cell_length_a 4.824
_cell_length_b 4.824
_cell_length_c 4.256
_cell_angle_alpha 90.00
_cell_angle_beta 90.00
_cell_angle_gamma 90.00
_space_group_name_H-M_alt 'P 4/m m m'
_space_group_IT_number 123
_space_group_name_Hall '-P 4 2'
loop_
_atom_site_label
_atom_site_type_symbol
_atom_site_fract_x
_atom_site_fract_y
_atom_site_fract_z
Li1 Li 0.000 0.500 0.000
La1 La 0.000 0.000 0.000
Mn1 Mn 0.000 0.000 0.500
Au1 Au 0.500 0.500 0.500
# Uncorrected energy, eV per atom: -25.9277
# Theoretical density, g/cm3: 6.8
# DOS at the Fermi energy, states/eV/atom: 0.55

***

# LiLa4AuO8, PBEsol geometry, DFT meta-GGA SCAN
data_LiLa4AuO8
_chemical_formula_sum 'Li2 La8 Au2 O16'
_cell_length_a 5.703
_cell_length_b 12.357
_cell_length_c 5.703
_cell_angle_alpha 90.00
_cell_angle_beta 90.00
_cell_angle_gamma 90.00
_space_group_name_H-M_alt 'C m m m'
_space_group_IT_number 65
_space_group_name_Hall '-C 2 2'
loop_
_atom_site_label
_atom_site_type_symbol
_atom_site_fract_x
_atom_site_fract_y
_atom_site_fract_z
Li1 Li 0.000 0.000 0.000
La1 La 0.000 0.150 0.500
La2 La 0.000 0.351 0.000
Au1 Au 0.000 0.500 0.500
O1 O 0.248 0.500 0.252
O2 O 0.250 0.250 0.249
# Raw formation energy, eV per formula unit: -42.7
# Theoretical density, g/cm3: 7.3
# DOS at the Fermi energy, states/eV/atom: 0.00

***

# LiLa2AuS, PBEsol geometry, DFT meta-GGA SCAN
data_LiLa2AuS
_chemical_formula_sum 'Li1 La2 Au1 S1'
_cell_length_a 5.315
_cell_length_b 5.315
_cell_length_c 3.997
_cell_angle_alpha 90.00
_cell_angle_beta 90.00
_cell_angle_gamma 90.00
_space_group_name_H-M_alt 'P 4/m m m'
_space_group_IT_number 123
_space_group_name_Hall '-P 4 2'
loop_
_atom_site_label
_atom_site_type_symbol
_atom_site_fract_x
_atom_site_fract_y
_atom_site_fract_z
Li1 Li 0.000 0.000 0.000
La1 La 0.000 0.500 0.000
Au1 Au 0.500 0.500 0.500
S1 S 0.000 0.000 0.500
# Raw formation energy, eV per formula unit: -3.1
# Theoretical density, g/cm3: 7.6
# DOS at the Fermi energy, states/eV/atom: 0.95

***

# LiLaSiAu2, PBEsol geometry, DFT meta-GGA SCAN
data_LiLaSiAu2
_chemical_formula_sum 'Li1 La1 Si1 Au2'
_cell_length_a 4.756
_cell_length_b 4.756
_cell_length_c 5.468
_cell_angle_alpha 90.00
_cell_angle_beta 90.00
_cell_angle_gamma 90.00
_space_group_name_H-M_alt 'P 4/m m m'
_space_group_IT_number 123
_space_group_name_Hall '-P 4 2'
loop_
_atom_site_label
_atom_site_type_symbol
_atom_site_fract_x
_atom_site_fract_y
_atom_site_fract_z
Li1 Li 0.000 0.000 0.000
La1 La 0.500 0.500 0.000
Si1 Si 0.500 0.500 0.500
Au1 Au 0.000 0.500 0.500
# Raw formation energy, eV per formula unit: -0.5
# Theoretical density, g/cm3: 7.6
# DOS at the Fermi energy, states/eV/atom: 0.85

***

# LaMg3Au, PBEsol geometry, DFT meta-GGA SCAN
data_LaMg3Au
_chemical_formula_sum 'La1 Mg3 Au1'
_cell_length_a 6.052
_cell_length_b 6.052
_cell_length_c 6.052
_cell_angle_alpha 90.00
_cell_angle_beta 90.00
_cell_angle_gamma 90.00
_space_group_name_H-M_alt 'P m -3 m'
_space_group_IT_number 221
_space_group_name_Hall '-P 4 2 3'
loop_
_atom_site_label
_atom_site_type_symbol
_atom_site_fract_x
_atom_site_fract_y
_atom_site_fract_z
La1 La 0.000 0.000 0.000
Mg1 Mg 0.000 0.000 0.500
Au1 Au 0.500 0.500 0.500
# Uncorrected energy, eV per atom: -24.0347
# Theoretical density, g/cm3: 3.1
# DOS at the Fermi energy, states/eV/atom: 0.82

***

# LaMgAu3, PBEsol geometry, DFT meta-GGA SCAN
data_LaMgAu3
_chemical_formula_sum 'La1 Mg1 Au3'
_cell_length_a 5.465
_cell_length_b 5.465
_cell_length_c 5.465
_cell_angle_alpha 90.00
_cell_angle_beta 90.00
_cell_angle_gamma 90.00
_space_group_name_H-M_alt 'P m -3 m'
_space_group_IT_number 221
_space_group_name_Hall '-P 4 2 3'
loop_
_atom_site_label
_atom_site_type_symbol
_atom_site_fract_x
_atom_site_fract_y
_atom_site_fract_z
La1 La 0.000 0.000 0.000
Mg1 Mg 0.500 0.500 0.500
Au1 Au 0.000 0.000 0.500
# Uncorrected energy, eV per atom: -50.9028
# Theoretical density, g/cm3: 7.7
# DOS at the Fermi energy, states/eV/atom: 0.35

***

# LaMgAu, PBEsol geometry, DFT meta-GGA SCAN
data_LaMgAu
_chemical_formula_sum 'La3 Mg3 Au3'
_cell_length_a 7.8054
_cell_length_b 7.8054
_cell_length_c 4.1629
_cell_angle_alpha 90.00
_cell_angle_beta 90.00
_cell_angle_gamma 120.00
_space_group_name_H-M_alt 'P -6 2 m'
_space_group_IT_number 189
_space_group_name_Hall 'P -6 -2'
loop_
_atom_site_label
_atom_site_type_symbol
_atom_site_fract_x
_atom_site_fract_y
_atom_site_fract_z
La1 La 0.0000 0.5846 0.0000
Mg1 Mg 0.0000 0.2392 0.5000
Au1 Au 0.0000 0.0000 0.0000
Au2 Au 0.3333 0.6667 0.5000
# Uncorrected energy, eV per atom: -39.9506
# Theoretical density, g/cm3: 8.2
# DOS at the Fermi energy, states/eV/atom: 0.82

***

# LaMgAu, PBEsol geometry, DFT meta-GGA SCAN
data_LaMgAu
_chemical_formula_sum 'La4 Mg4 Au4'
_cell_length_a 6.926
_cell_length_b 6.926
_cell_length_c 6.926
_cell_angle_alpha 90.00
_cell_angle_beta 90.00
_cell_angle_gamma 90.00
_space_group_name_H-M_alt 'F -4 3 m'
_space_group_IT_number 216
_space_group_name_Hall 'F -4 2 3'
loop_
_atom_site_label
_atom_site_type_symbol
_atom_site_fract_x
_atom_site_fract_y
_atom_site_fract_z
La1 La 0.000 0.000 0.000
Mg1 Mg 0.000 0.000 0.500
Au1 Au 0.250 0.250 0.250
# Uncorrected energy, eV per atom: -39.7804
# Theoretical density, g/cm3: 7.2
# DOS at the Fermi energy, states/eV/atom: 1.41

***

# LaMnAu2, PBEsol geometry, DFT meta-GGA SCAN
data_LaMnAu2
_chemical_formula_sum 'La1 Mn1 Au2'
_cell_length_a 3.535
_cell_length_b 3.535
_cell_length_c 6.629
_cell_angle_alpha 90.00
_cell_angle_beta 90.00
_cell_angle_gamma 90.00
_space_group_name_H-M_alt 'P 4 m m'
_space_group_IT_number 99
loop_
_space_group_symop_operation_xyz
'x,y,z'
'-y,x,z'
'-x,-y,z'
'y,-x,z'
'-x,y,z'
'y,x,z'
'x,-y,z'
'-y,-x,z'
loop_
_atom_site_label
_atom_site_type_symbol
_atom_site_fract_x
_atom_site_fract_y
_atom_site_fract_z
La1 La 0.000 0.000 0.000
Mn1 Mn 0.500 0.500 0.326
Au1 Au 0.000 0.000 0.485
Au2 Au 0.500 0.500 0.725
# Uncorrected energy, eV per atom: -50.4500
# Theoretical density, g/cm3: 11.8
# DOS at the Fermi energy, states/eV/atom: 0.44

***

# LaMnAu2, PBEsol geometry, DFT meta-GGA SCAN
data_LaMnAu2
_chemical_formula_sum 'La2 Mn2 Au4'
_cell_length_a 4.794
_cell_length_b 4.794
_cell_length_c 6.974
_cell_angle_alpha 90.00
_cell_angle_beta 90.00
_cell_angle_gamma 90.00
_space_group_name_H-M_alt 'I -4 m 2'
_space_group_IT_number 119
_space_group_name_Hall 'I -4 -2'
loop_
_atom_site_label
_atom_site_type_symbol
_atom_site_fract_x
_atom_site_fract_y
_atom_site_fract_z
La1 La 0.000 0.000 0.000
Mn1 Mn 0.000 0.500 0.250
Au1 Au 0.000 0.000 0.500
Au2 Au 0.000 0.500 0.750
# Uncorrected energy, eV per atom: -50.4432
# Theoretical density, g/cm3: 12.2
# DOS at the Fermi energy, states/eV/atom: 0.27

***

# LaMnAu2, PBEsol geometry, DFT meta-GGA SCAN
data_LaMnAu2
_chemical_formula_sum 'La1 Mn1 Au2'
_cell_length_a 4.756
_cell_length_b 4.756
_cell_length_c 3.698
_cell_angle_alpha 90.00
_cell_angle_beta 90.00
_cell_angle_gamma 90.00
_space_group_name_H-M_alt 'P 4/m m m'
_space_group_IT_number 123
_space_group_name_Hall '-P 4 2'
loop_
_atom_site_label
_atom_site_type_symbol
_atom_site_fract_x
_atom_site_fract_y
_atom_site_fract_z
La1 La 0.000 0.000 0.000
Mn1 Mn 0.500 0.500 0.000
Au1 Au 0.000 0.500 0.500
# Uncorrected energy, eV per atom: -50.4794
# Theoretical density, g/cm3: 11.7
# DOS at the Fermi energy, states/eV/atom: 0.52